{"formula": "Zn2AsPtAu", "functional": "GGA-PBE", "state": "optimized geometry", "cell": [[-3.430, -0.554, 3.238], [-3.184, -0.368, -3.435], [0.659, -4.702, -0.107]], "species": ["As", "Au", "Zn", "Zn", "Pt"], "fractional_positions": [[0.000, 0.000, 0.000], [0.500, 0.500, 0.500], [0.000, 0.000, 0.500], [0.500, 0.000, 0.000], [0.000, 0.500, 0.000]], "total_magnetization_mub_per_atom": 0.000, "dft_energy_ev_per_atom": -2.873, "space_group": "P4/mmm", "e_form_ev_per_atom": 0.43}

{"formula": "PuAs2Au4", "functional": "GGA-PBE", "state": "optimized geometry", "cell": [[4.468, 0.000, 0.000], [0.000, 7.995, 0.000], [0.000, 0.000, 7.995]], "species": ["As", "As", "As", "As", "Au", "Au", "Au", "Au", "Au", "Au", "Au", "Au", "Pu", "Pu"], "fractional_positions": [[0.000, 0.224, 0.776], [0.000, 0.776, 0.224], [0.500, 0.724, 0.724], [0.500, 0.276, 0.276], [0.000, 0.081, 0.334], [0.000, 0.919, 0.666], [0.500, 0.166, 0.581], [0.500, 0.834, 0.419], [0.500, 0.419, 0.834], [0.500, 0.581, 0.166], [0.000, 0.334, 0.081], [0.000, 0.666, 0.919], [0.500, 0.000, 0.000], [0.000, 0.500, 0.500]], "total_magnetization_mub_per_atom": 0.781, "dft_energy_ev_per_atom": -5.451, "space_group": "P4_2/mnm", "e_form_ev_per_atom": -0.20}

{"formula": "PuAsAu2", "functional": "GGA-PBE", "state": "optimized geometry", "cell": [[5.086, 0.000, 0.000], [0.000, 4.073, 0.000], [0.000, 0.000, 4.073]], "species": ["As", "Au", "Au", "Pu"], "fractional_positions": [[0.500, 0.000, 0.000], [0.000, 0.000, 0.500], [0.000, 0.500, 0.000], [0.500, 0.500, 0.500]], "total_magnetization_mub_per_atom": 1.295, "dft_energy_ev_per_atom": -6.755, "space_group": "P4/mmm", "e_form_ev_per_atom": -0.37}

{"formula": "PuAsAu", "functional": "GGA-PBE", "state": "optimized geometry", "cell": [[3.867, 0.000, 0.000], [0.000, 3.867, 0.000], [-1.933, -1.933, 4.432]], "species": ["As", "Au", "Pu"], "fractional_positions": [[0.606, 0.606, 0.213], [0.287, 0.287, 0.575], [0.956, 0.956, 0.913]], "total_magnetization_mub_per_atom": 1.646, "dft_energy_ev_per_atom": -7.859, "space_group": "I4mm", "e_form_ev_per_atom": -0.44}

{"formula": "Pu2AsAu", "functional": "GGA-PBE", "state": "optimized geometry", "cell": [[-2.562, 4.317, 0.845], [-2.447, 2.298, -3.826], [-5.089, 0.006, -0.127]], "species": ["As", "Au", "Pu", "Pu"], "fractional_positions": [[0.000, 0.000, 0.000], [0.500, 0.500, 0.500], [0.250, 0.250, 0.250], [0.750, 0.750, 0.750]], "total_magnetization_mub_per_atom": 3.002, "dft_energy_ev_per_atom": -9.780, "space_group": "Fm-3m", "e_form_ev_per_atom": -0.63, "e_above_lowest_polymorph_kj_per_mol_atoms": 2.94}

{"formula": "PuAsAu", "functional": "GGA-PBE", "state": "optimized geometry", "cell": [[-3.209, -0.804, -2.137], [-1.704, -2.283, 3.419], [-0.825, 4.355, -0.399]], "species": ["As", "Au", "Pu"], "fractional_positions": [[0.167, 0.000, 0.000], [0.167, 0.667, 0.333], [0.667, 0.333, 0.667]], "total_magnetization_mub_per_atom": 1.937, "dft_energy_ev_per_atom": -7.971, "space_group": "P-6m2", "e_form_ev_per_atom": -0.55}

{"formula": "PuAsAu", "functional": "GGA-PBE", "state": "optimized geometry", "cell": [[3.544, 0.000, 0.000], [0.000, 3.544, 0.000], [-1.772, -1.772, 11.112]], "species": ["As", "As", "Pu", "Pu", "Au", "Au"], "fractional_positions": [[0.283, 0.283, 0.566], [0.717, 0.717, 0.434], [0.143, 0.143, 0.286], [0.857, 0.857, 0.714], [0.561, 0.561, 0.123], [0.439, 0.439, 0.877]], "total_magnetization_mub_per_atom": 1.814, "dft_energy_ev_per_atom": -7.754, "space_group": "I4/mmm", "e_form_ev_per_atom": -0.33}

{"formula": "Pu2AsAu", "functional": "GGA-PBE", "state": "optimized geometry", "cell": [[-0.709, -1.064, 3.392], [1.021, -3.374, -0.845], [6.613, 1.535, 1.864]], "species": ["As", "Au", "Pu", "Pu"], "fractional_positions": [[0.500, 0.500, 0.000], [0.500, 0.500, 0.500], [0.000, 0.000, 0.771], [0.000, 0.000, 0.229]], "total_magnetization_mub_per_atom": 2.854, "dft_energy_ev_per_atom": -9.810, "space_group": "P4/mmm", "e_form_ev_per_atom": -0.66, "e_above_lowest_polymorph_kj_per_mol_atoms": 0.00}

{"formula": "PuAsAu4", "functional": "GGA-PBE", "state": "optimized geometry", "cell": [[5.604, 0.000, 0.000], [2.802, 4.853, 0.000], [2.802, 1.618, 4.576]], "species": ["As", "Au", "Au", "Au", "Au", "Pu"], "fractional_positions": [[0.000, 0.000, 0.000], [0.625, 0.625, 0.125], [0.625, 0.125, 0.625], [0.625, 0.625, 0.625], [0.125, 0.625, 0.625], [0.250, 0.250, 0.250]], "total_magnetization_mub_per_atom": 0.892, "dft_energy_ev_per_atom": -5.551, "space_group": "F-43m", "e_form_ev_per_atom": -0.20}

{"formula": "PuAsAu", "functional": "GGA-PBE", "state": "optimized geometry", "cell": [[3.882, 0.000, 0.000], [0.000, 8.574, 3.499], [0.000, 7.076, 15.249]], "species": ["Pu", "Pu", "Pu", "Pu", "Pu", "Pu", "As", "As", "As", "As", "As", "As", "Au", "Au", "Au", "Au", "Au", "Au"], "fractional_positions": [[0.750, 0.649, 0.303], [0.250, 0.937, 0.684], [0.750, 0.063, 0.316], [0.750, 0.660, 0.066], [0.250, 0.351, 0.697], [0.250, 0.340, 0.934], [0.250, 0.647, 0.940], [0.750, 0.026, 0.774], [0.750, 0.599, 0.500], [0.750, 0.353, 0.060], [0.250, 0.401, 0.500], [0.250, 0.974, 0.226], [0.250, 0.866, 0.098], [0.250, 0.846, 0.525], [0.750, 0.614, 0.721], [0.750, 0.154, 0.475], [0.250, 0.386, 0.279], [0.750, 0.134, 0.902]], "total_magnetization_mub_per_atom": 1.774, "dft_energy_ev_per_atom": -7.903, "space_group": "P2_1/m", "e_form_ev_per_atom": -0.48}

{"formula": "PuAs2Au2", "functional": "GGA-PBE", "state": "optimized geometry", "cell": [[-0.545, -2.588, -3.076], [1.858, -2.938, 2.143], [-10.296, -2.003, 6.184]], "species": ["Pu", "Pu", "As", "As", "As", "As", "Au", "Au", "Au", "Au"], "fractional_positions": [[0.344, 0.250, 0.687], [0.656, 0.750, 0.313], [0.750, 0.250, 0.500], [0.250, 0.750, 0.500], [0.872, 0.750, 0.744], [0.128, 0.250, 0.256], [0.045, 0.750, 0.090], [0.453, 0.750, 0.907], [0.955, 0.250, 0.910], [0.547, 0.250, 0.093]], "total_magnetization_mub_per_atom": 0.980, "dft_energy_ev_per_atom": -6.486, "space_group": "Cmcm", "e_form_ev_per_atom": -0.45}

{"formula": "Pu2AsAu", "functional": "GGA-PBE", "state": "optimized geometry", "cell": [[-0.838, 4.031, -0.471], [-0.102, 1.666, -3.793], [-7.312, 0.389, -1.897]], "species": ["As", "Au", "Pu", "Pu"], "fractional_positions": [[0.000, 0.000, 0.000], [0.500, 0.500, 0.500], [0.255, 0.255, 0.235], [0.745, 0.745, 0.765]], "total_magnetization_mub_per_atom": 2.925, "dft_energy_ev_per_atom": -9.727, "space_group": "R-3m", "e_form_ev_per_atom": -0.58, "e_above_lowest_polymorph_kj_per_mol_atoms": 8.00}

{"formula": "Pu2As3Rh4Au", "functional": "GGA-PBE", "state": "optimized geometry", "cell": [[4.030, 0.000, 0.000], [0.000, 4.030, 0.000], [0.000, 0.000, 11.377]], "species": ["Pu", "Pu", "As", "As", "As", "Rh", "Rh", "Rh", "Rh", "Au"], "fractional_positions": [[0.500, 0.000, 0.259], [0.000, 0.500, 0.741], [0.000, 0.000, 0.500], [0.500, 0.000, 0.875], [0.000, 0.500, 0.125], [0.500, 0.500, 0.000], [0.000, 0.000, 0.000], [0.500, 0.000, 0.667], [0.000, 0.500, 0.333], [0.500, 0.500, 0.500]], "total_magnetization_mub_per_atom": 0.990, "dft_energy_ev_per_atom": -8.134, "space_group": "P-4m2", "e_form_ev_per_atom": -0.60}

{"formula": "Rb2As2Au", "functional": "GGA-PBE", "state": "optimized geometry", "cell": [[-0.377, 5.816, -3.896], [0.194, -3.891, -5.828], [-5.732, -0.345, 0.040]], "species": ["As", "As", "As", "As", "Au", "Au", "Rb", "Rb", "Rb", "Rb"], "fractional_positions": [[0.368, 0.868, 0.000], [0.868, 0.632, 0.000], [0.632, 0.132, 0.000], [0.132, 0.368, 0.000], [0.000, 0.000, 0.000], [0.500, 0.500, 0.000], [0.174, 0.674, 0.500], [0.674, 0.826, 0.500], [0.826, 0.326, 0.500], [0.326, 0.174, 0.500]], "total_magnetization_mub_per_atom": 0.000, "dft_energy_ev_per_atom": -3.154, "space_group": "P4/mbm", "e_form_ev_per_atom": -0.25}

{"formula": "RbAsAu2", "functional": "GGA-PBE", "state": "optimized geometry", "cell": [[4.799, 0.000, 0.000], [0.000, 7.207, 0.000], [0.000, 0.000, 14.817]], "species": ["Rb", "Rb", "Rb", "Rb", "As", "As", "As", "As", "Au", "Au", "Au", "Au", "Au", "Au", "Au", "Au"], "fractional_positions": [[0.750, 0.762, 0.604], [0.250, 0.738, 0.104], [0.250, 0.238, 0.396], [0.750, 0.262, 0.896], [0.750, 0.824, 0.369], [0.250, 0.676, 0.869], [0.250, 0.176, 0.631], [0.750, 0.324, 0.131], [0.750, 0.280, 0.648], [0.250, 0.220, 0.148], [0.250, 0.720, 0.352], [0.750, 0.780, 0.852], [0.750, 0.553, 0.259], [0.250, 0.947, 0.759], [0.250, 0.447, 0.741], [0.750, 0.053, 0.241]], "total_magnetization_mub_per_atom": 0.000, "dft_energy_ev_per_atom": -3.397, "space_group": "Pnma", "e_form_ev_per_atom": -0.35}

{"formula": "Rb12As3Au5", "functional": "GGA-PBE", "state": "optimized geometry", "cell": [[-16.052, -7.198, 0.289], [12.047, -12.399, 3.267], [1.021, 12.551, 12.287]], "species": ["As", "As", "As", "As", "As", "As", "As", "As", "As", "As", "As", "As", "Au", "Au", "Au", "Au", "Au", "Au", "Au", "Au", "Au", "Au", "Au", "Au", "Au", "Au", "Au", "Au", "Au", "Au", "Au", "Au", "Rb", "Rb", "Rb", "Rb", "Rb", "Rb", "Rb", "Rb", "Rb", "Rb", "Rb", "Rb", "Rb", "Rb", "Rb", "Rb", "Rb", "Rb", "Rb", "Rb", "Rb", "Rb", "Rb", "Rb", "Rb", "Rb", "Rb", "Rb", "Rb", "Rb", "Rb", "Rb", "Rb", "Rb", "Rb", "Rb", "Rb", "Rb", "Rb", "Rb", "Rb", "Rb", "Rb", "Rb", "Rb", "Rb", "Rb", "Rb"], "fractional_positions": [[0.750, 0.375, 0.125], [0.875, 0.750, 0.125], [0.375, 0.750, 0.625], [0.250, 0.125, 0.375], [0.875, 0.125, 0.250], [0.375, 0.625, 0.250], [0.625, 0.375, 0.750], [0.125, 0.875, 0.750], [0.750, 0.875, 0.625], [0.625, 0.250, 0.375], [0.125, 0.250, 0.875], [0.250, 0.625, 0.875], [0.125, 0.375, 0.250], [0.000, 0.500, 0.000], [0.000, 0.000, 0.000], [0.375, 0.250, 0.125], [0.500, 0.000, 0.500], [0.500, 0.500, 0.000], [0.125, 0.750, 0.375], [0.750, 0.125, 0.875], [0.750, 0.625, 0.375], [0.375, 0.125, 0.750], [0.625, 0.875, 0.250], [0.500, 0.500, 0.500], [0.500, 0.000, 0.000], [0.000, 0.000, 0.500], [0.250, 0.375, 0.625], [0.250, 0.875, 0.125], [0.000, 0.500, 0.500], [0.875, 0.250, 0.625], [0.625, 0.750, 0.875], [0.875, 0.625, 0.750], [0.728, 0.140, 0.057], [0.329, 0.557, 0.418], [0.943, 0.360, 0.272], [0.557, 0.228, 0.140], [0.588, 0.728, 0.671], [0.943, 0.582, 0.171], [0.329, 0.772, 0.412], [0.082, 0.912, 0.140], [0.582, 0.943, 0.671], [0.728, 0.588, 0.171], [0.772, 0.443, 0.360], [0.829, 0.918, 0.057], [0.140, 0.728, 0.557], [0.360, 0.418, 0.088], [0.088, 0.918, 0.360], [0.412, 0.140, 0.582], [0.088, 0.171, 0.228], [0.443, 0.671, 0.082], [0.829, 0.912, 0.272], [0.140, 0.412, 0.082], [0.360, 0.943, 0.772], [0.582, 0.640, 0.412], [0.918, 0.829, 0.557], [0.772, 0.329, 0.912], [0.418, 0.360, 0.588], [0.082, 0.171, 0.443], [0.228, 0.671, 0.088], [0.171, 0.088, 0.728], [0.640, 0.057, 0.228], [0.860, 0.588, 0.918], [0.557, 0.329, 0.918], [0.588, 0.860, 0.418], [0.912, 0.829, 0.772], [0.912, 0.082, 0.640], [0.860, 0.272, 0.443], [0.171, 0.082, 0.943], [0.640, 0.582, 0.912], [0.418, 0.057, 0.329], [0.272, 0.412, 0.829], [0.228, 0.557, 0.640], [0.918, 0.088, 0.860], [0.671, 0.228, 0.588], [0.443, 0.772, 0.860], [0.057, 0.418, 0.829], [0.412, 0.272, 0.329], [0.057, 0.640, 0.728], [0.671, 0.443, 0.582], [0.272, 0.860, 0.943]], "total_magnetization_mub_per_atom": 0.106, "dft_energy_ev_per_atom": -2.270, "space_group": "Ia-3d", "e_form_ev_per_atom": -0.17}

{"formula": "Rb8AsAu2", "functional": "GGA-PBE", "state": "optimized geometry", "cell": [[-4.172, 0.723, 4.152], [-5.482, -6.856, -4.314], [8.630, -3.049, 4.967]], "species": ["Rb", "Rb", "Rb", "Rb", "Rb", "Rb", "Rb", "Rb", "As", "Au", "Au"], "fractional_positions": [[0.656, 0.884, 0.312], [0.344, 0.572, 0.688], [0.134, 0.134, 0.269], [0.000, 0.307, 0.000], [0.866, 0.866, 0.731], [0.656, 0.428, 0.312], [0.344, 0.116, 0.688], [0.000, 0.693, 0.000], [0.500, 0.000, 0.000], [0.183, 0.683, 0.366], [0.817, 0.317, 0.634]], "total_magnetization_mub_per_atom": 0.038, "dft_energy_ev_per_atom": -1.840, "space_group": "Immm", "e_form_ev_per_atom": -0.12}

{"formula": "Rb3As2Au", "functional": "GGA-PBE", "state": "optimized geometry", "cell": [[-5.287, -3.320, -4.291], [-3.859, -3.597, 5.437], [-8.030, 4.962, 1.320]], "species": ["Rb", "Rb", "Rb", "Rb", "Rb", "Rb", "As", "As", "As", "As", "Au", "Au"], "fractional_positions": [[0.344, 0.656, 0.250], [0.656, 0.344, 0.750], [0.155, 0.241, 0.017], [0.759, 0.845, 0.483], [0.845, 0.759, 0.983], [0.241, 0.155, 0.517], [0.895, 0.450, 0.335], [0.550, 0.105, 0.165], [0.450, 0.895, 0.835], [0.105, 0.550, 0.665], [0.710, 0.290, 0.250], [0.290, 0.710, 0.750]], "total_magnetization_mub_per_atom": 0.330, "dft_energy_ev_per_atom": -2.855, "space_group": "C2/c", "e_form_ev_per_atom": -0.27}

{"formula": "RbAs3Au3", "functional": "GGA-PBE", "state": "optimized geometry", "cell": [[-0.809, -5.844, -4.216], [4.640, -3.668, 4.195], [-5.513, -2.230, 4.149]], "species": ["As", "As", "As", "As", "As", "As", "Au", "Au", "Au", "Au", "Au", "Au", "Rb", "Rb"], "fractional_positions": [[0.000, 0.250, 0.500], [0.000, 0.750, 0.500], [0.500, 0.000, 0.750], [0.750, 0.500, 0.000], [0.500, 0.000, 0.250], [0.250, 0.500, 0.000], [0.250, 0.000, 0.500], [0.000, 0.500, 0.250], [0.500, 0.750, 0.000], [0.750, 0.000, 0.500], [0.000, 0.500, 0.750], [0.500, 0.250, 0.000], [0.500, 0.500, 0.500], [0.000, 0.000, 0.000]], "total_magnetization_mub_per_atom": 0.000, "dft_energy_ev_per_atom": -3.654, "space_group": "Pm-3n", "e_form_ev_per_atom": -0.12}

{"formula": "RbAsAu2", "functional": "GGA-PBE", "state": "optimized geometry", "cell": [[-4.923, -3.133, 1.419], [3.350, -3.809, 3.213], [-1.797, 0.994, 8.664]], "species": ["As", "As", "Au", "Au", "Au", "Au", "Rb", "Rb"], "fractional_positions": [[0.500, 0.500, 0.000], [0.250, 0.750, 0.500], [0.377, 0.125, 0.250], [0.373, 0.625, 0.250], [0.375, 0.623, 0.750], [0.875, 0.627, 0.750], [0.000, 0.000, 0.000], [0.750, 0.250, 0.500]], "total_magnetization_mub_per_atom": 0.000, "dft_energy_ev_per_atom": -3.386, "space_group": "I-42d", "e_form_ev_per_atom": -0.34}

{"formula": "Rb2AsAu", "functional": "GGA-PBE", "state": "optimized geometry", "cell": [[4.730, 0.049, 0.033], [2.424, 6.107, 0.519], [2.425, 2.637, 5.531]], "species": ["Rb", "Rb", "As", "Au"], "fractional_positions": [[0.076, 0.832, 0.021], [0.424, 0.479, 0.668], [0.750, 0.031, 0.469], [0.250, 0.158, 0.342]], "total_magnetization_mub_per_atom": 0.000, "dft_energy_ev_per_atom": -2.867, "space_group": "C2", "e_form_ev_per_atom": -0.40}